Material: Mg2Hg2Pt
Method: DFT, PBE
State: optimized geometry

Output
E	-2.1210	eV/atom
energy above the lowest structure with this stoichiometry	274	meV/atom
total magnetic moment	0.000	μB per atom
crystal system	tetragonal

Unit cell a=7.3335 b=7.3335 c=3.7648 alpha=90.00 beta=90.00 gamma=90.00
Space group P4/mbm (No. 127)
Asymmetric unit:
Mg (0.1682, 0.3318, 0.0000)
Hg (0.1396, 0.6396, 0.5000)
Pt (0.0000, 0.0000, 0.5000)